# 1
Sc2PaTl2Se6 | PBE | optimized geometry

The structure belongs to space group C2/m (No. 12); the cell edges are 6.8974, 12.0140 and 8.2067 Å and the angles 90.00°, 106.31° and 90.00°. The distinct sites, in fractional coordinates, are Sc at (0.0000, 0.1675, 0.0000), Pa at (0.0000, 0.5000, 0.0000), Tl at (0.0000, 0.3355, 0.5000), Se at (0.2222, 0.0000, 0.1969) and Se at (0.2355, 0.3292, 0.1969).

# 2
Sc3PaTl3Se8 | PBE | optimized geometry

The structure belongs to space group C2/m (No. 12); the cell edges are 13.8000, 7.9675 and 9.0830 Å and the angles 90.00°, 120.42° and 90.00°. The distinct sites, in fractional coordinates, are Sc at (0.0000, 0.0000, 0.0000), Sc at (0.2500, 0.2500, 0.0000), Pa at (0.0000, 0.5000, 0.0000), Tl at (0.0000, 0.5000, 0.5000), Tl at (0.2500, 0.2500, 0.5000), Se at (0.0193, 0.2422, 0.8018), Se at (0.2309, 0.0000, 0.1921) and Se at (0.2382, 0.5000, 0.1990).

# 3
Sc2PaTl3Se6 | PBE | optimized geometry

The structure belongs to space group C2/m (No. 12); the cell edges are 6.9387, 12.0104 and 8.3370 Å and the angles 90.00°, 106.12° and 90.00°. The distinct sites, in fractional coordinates, are Sc at (0.0000, 0.1667, 0.0000), Pa at (0.0000, 0.5000, 0.0000), Tl at (0.0000, 0.0000, 0.5000), Tl at (0.0000, 0.3347, 0.5000), Se at (0.2217, 0.0000, 0.1944) and Se at (0.2366, 0.3284, 0.1953).

# 4
ScPaTl2Se4 | PBE | optimized geometry

The structure belongs to space group P2/m (No. 10); the cell edges are 7.0187, 4.0148 and 8.3109 Å and the angles 90.00°, 105.41° and 90.00°. The distinct sites, in fractional coordinates, are Sc at (0.0000, 0.0000, 0.0000), Pa at (0.5000, 0.5000, 0.0000), Tl at (0.0000, 0.5000, 0.5000), Tl at (0.5000, 0.0000, 0.5000), Se at (0.2199, 0.5000, 0.1939) and Se at (0.2552, 0.0000, 0.7950).

# 5
Tm3Sc2PaSe6 | PBE | optimized geometry

The structure belongs to space group C2/m (No. 12); the cell edges are 17.4213, 3.9386 and 8.0498 Å and the angles 90.00°, 103.43° and 90.00°. The distinct sites, in fractional coordinates, are Tm at (0.0000, 0.0000, 0.0000), Tm at (0.1627, 0.5000, 0.3316), Sc at (0.1592, 0.5000, 0.8184), Pa at (0.0000, 0.0000, 0.5000), Se at (0.0014, 0.5000, 0.7601), Se at (0.1713, 0.0000, 0.5893) and Se at (0.1720, 0.0000, 0.0755).

# 6
Tm2ScPaSe4 | PBE | optimized geometry

The structure belongs to space group P2/m (No. 10); the cell edges are 6.9210, 3.9457 and 6.9948 Å and the angles 90.00°, 108.69° and 90.00°. The distinct sites, in fractional coordinates, are Tm at (0.0000, 0.0000, 0.0000), Tm at (0.0000, 0.5000, 0.5000), Sc at (0.5000, 0.0000, 0.5000), Pa at (0.5000, 0.5000, 0.0000), Se at (0.2466, 0.0000, 0.7395) and Se at (0.2538, 0.5000, 0.2595).

# 7
TmScPa2Se4 | PBE | optimized geometry

The structure belongs to space group P2/m (No. 10); the cell edges are 6.6056, 3.8212 and 7.4935 Å and the angles 90.00°, 107.12° and 90.00°. The distinct sites, in fractional coordinates, are Tm at (0.0000, 0.0000, 0.0000), Sc at (0.5000, 0.5000, 0.0000), Pa at (0.0000, 0.5000, 0.5000), Pa at (0.5000, 0.0000, 0.5000), Se at (0.2497, 0.5000, 0.2333) and Se at (0.2618, 0.0000, 0.7698).

# 8
TmSc2PaSe4 | PBE | optimized geometry

The structure belongs to space group P2/m (No. 10); the cell edges are 6.8618, 3.9065 and 6.9103 Å and the angles 90.00°, 108.73° and 90.00°. The distinct sites, in fractional coordinates, are Tm at (0.0000, 0.0000, 0.0000), Sc at (0.0000, 0.5000, 0.5000), Sc at (0.5000, 0.0000, 0.5000), Pa at (0.5000, 0.5000, 0.0000), Se at (0.2396, 0.0000, 0.7325) and Se at (0.2504, 0.5000, 0.2634).

# 9
YSc2PaSe4 | PBE | optimized geometry

The structure belongs to space group P2/m (No. 10); the cell edges are 6.8687, 3.9237 and 6.9614 Å and the angles 90.00°, 108.75° and 90.00°. The distinct sites, in fractional coordinates, are Y at (0.0000, 0.0000, 0.0000), Sc at (0.0000, 0.5000, 0.5000), Sc at (0.5000, 0.0000, 0.5000), Pa at (0.5000, 0.5000, 0.0000), Se at (0.2421, 0.0000, 0.7307) and Se at (0.2551, 0.5000, 0.2676).

# 10
ScPaSi3 | PBE | optimized geometry

The structure belongs to space group Pnna (No. 52); the cell edges are 12.7423, 5.4948 and 5.4755 Å and the angles 90.00°, 90.00° and 90.00°. The distinct sites, in fractional coordinates, are Sc at (0.0009, 0.2500, 0.2500), Pa at (0.2500, 0.0000, 0.0130), Si at (0.0615, 0.7500, 0.2500) and Si at (0.1559, 0.0199, 0.5250).

| no. | calculated volume (Å³/cell) | raw formation energy (eV per formula unit) |
| --- | --- | --- |
| 1 | 653 | -14.2 |
| 2 | 861 | -19.3 |
| 3 | 667 | -13.8 |
| 4 | 226 | -8.8 |
| 5 | 537 | -18.6 |
| 6 | 181 | -12.0 |
| 7 | 181 | -11.3 |
| 8 | 175 | -11.9 |
| 9 | 178 | -12.1 |
| 10 | 383 | -2.8 |